(1)
The following is a PBE-GGA calculation of a geometry-optimized Sr3V5S12 structure, from Alexandria.

Structure (POSCAR):
```
Sr3V5S12
1.0
-7.6559 7.6559 7.6559
7.6559 -7.6559 7.6559
7.6559 7.6559 -7.6559
Sr V S
12 20 48
Direct
0.1250 0.2500 0.3750
0.1250 0.3750 0.7500
0.2500 0.3750 0.1250
0.2500 0.8750 0.6250
0.3750 0.1250 0.2500
0.3750 0.7500 0.1250
0.6250 0.2500 0.8750
0.6250 0.8750 0.7500
0.7500 0.1250 0.3750
0.7500 0.6250 0.8750
0.8750 0.6250 0.2500
0.8750 0.7500 0.6250
0.0000 0.0000 0.0000
0.0000 0.0000 0.5000
0.0000 0.5000 0.0000
0.0000 0.5000 0.5000
0.1250 0.7500 0.8750
0.1250 0.8750 0.2500
0.2500 0.1250 0.8750
0.2500 0.6250 0.3750
0.3750 0.2500 0.6250
0.3750 0.6250 0.7500
0.5000 0.0000 0.0000
0.5000 0.0000 0.5000
0.5000 0.5000 0.0000
0.5000 0.5000 0.5000
0.6250 0.3750 0.2500
0.6250 0.7500 0.3750
0.7500 0.3750 0.6250
0.7500 0.8750 0.1250
0.8750 0.1250 0.7500
0.8750 0.2500 0.1250
0.0135 0.1979 0.1099
0.0135 0.3156 0.9036
0.0880 0.6979 0.6844
0.0880 0.8901 0.4036
0.0964 0.6099 0.4120
0.0964 0.9865 0.6844
0.1099 0.0135 0.1979
0.1099 0.5964 0.9120
0.1844 0.1979 0.5880
0.1844 0.4865 0.5964
0.1979 0.1099 0.0135
0.1979 0.5880 0.1844
0.3021 0.3156 0.9120
0.3021 0.4865 0.3901
0.3156 0.9036 0.0135
0.3156 0.9120 0.3021
0.3901 0.3021 0.4865
0.3901 0.5880 0.9036
0.4036 0.0880 0.8901
0.4036 0.8156 0.5135
0.4120 0.0964 0.6099
0.4120 0.8156 0.8021
0.4865 0.3901 0.3021
0.4865 0.5964 0.1844
0.5135 0.4036 0.8156
0.5135 0.6099 0.6979
0.5880 0.1844 0.1979
0.5880 0.9036 0.3901
0.5964 0.1844 0.4865
0.5964 0.9120 0.1099
0.6099 0.4120 0.0964
0.6099 0.6979 0.5135
0.6844 0.0880 0.6979
0.6844 0.0964 0.9865
0.6979 0.5135 0.6099
0.6979 0.6844 0.0880
0.8021 0.4120 0.8156
0.8021 0.8901 0.9865
0.8156 0.5135 0.4036
0.8156 0.8021 0.4120
0.8901 0.4036 0.0880
0.8901 0.9865 0.8021
0.9036 0.0135 0.3156
0.9036 0.3901 0.5880
0.9120 0.1099 0.5964
0.9120 0.3021 0.3156
0.9865 0.6844 0.0964
0.9865 0.8021 0.8901
```

Computed properties:
Space group   No. 230
Formation energy (no corrections)   -2255.1 kJ/mol of formula units
Calculated total energy   -6.1770 eV/atom
Theoretical density   3.3 Mg/m³

(2)
The following is a PBE-GGA calculation of a geometry-optimized SrVS3 structure, from Alexandria.

Structure (POSCAR):
```
SrVS3
1.0
5.4516 0.0000 0.0000
0.0000 5.4516 0.0000
0.0000 0.0000 5.4516
Sr V S
1 1 3
Direct
0.0000 0.0000 0.0000
0.5000 0.5000 0.5000
0.0000 0.0000 0.5000
0.0000 0.5000 0.0000
0.5000 0.0000 0.0000
```

Computed properties:
Offset from the most stable computed form   1.752 eV per atom
Space group   No. 221
Formation energy (no corrections)   282.9 kJ/mol of formula units
Calculated total energy   -4.0502 eV/atom
Theoretical density   2.4 Mg/m³